Entry from the Alexandria database: crystalline La8Al2Pt at its relaxed geometry (GGA-PBE).

The structure belongs to space group Immm (No. 71); the cell edges are 5.424, 7.212 and 17.056 Å and the angles 90.00°, 90.00° and 90.00°. Symmetry generates all atoms from La at (0.000, 0.000, 0.203), La at (0.000, 0.239, 0.365), La at (0.000, 0.259, 0.000), Al at (0.000, 0.500, 0.184) and Pt at (0.000, 0.500, 0.500).

The formation energy comes out at -0.327 eV per atom. The theoretical density is 6770 kg/m³.